(1)
A plane-wave DFT calculation with GGA-PBE was carried out for a relaxed structure of NaSrNiSb.

Computed properties:
V	92.8	Å³/f.u.
total DFT energy (no corrections)	-0.121	hartree per atom
total magnetization	0.0	Bohr magnetons per cell

Cell lengths 5.082, 5.082, 5.082 Å; angles 60.00, 60.00, 60.00 degrees
Fractional coordinates of all 4 atoms:
Na 0.000 0.000 0.000
Sr 0.250 0.250 0.250
Ni 0.750 0.750 0.750
Sb 0.500 0.500 0.500

---

(2)
A plane-wave DFT calculation with GGA-PBE was carried out for a relaxed structure of NaNiSbTe3.

Computed properties:
V	166.2	Å³/f.u.
total DFT energy (no corrections)	-0.133	hartree per atom
total magnetization	0.1	Bohr magnetons per cell

Cell lengths 7.114, 7.114, 11.736 Å; angles 90.00, 90.00, 145.96 degrees
Fractional coordinates of all 12 atoms:
Na 0.246 0.754 0.750
Na 0.754 0.246 0.250
Ni 0.456 0.544 0.250
Ni 0.544 0.456 0.750
Sb 0.000 0.000 0.000
Sb 0.000 0.000 0.500
Te 0.063 0.937 0.250
Te 0.349 0.651 0.068
Te 0.349 0.651 0.432
Te 0.651 0.349 0.568
Te 0.651 0.349 0.932
Te 0.937 0.063 0.750

---

(3)
A plane-wave DFT calculation with GGA-PBE was carried out for a relaxed structure of NaZnNiSb.

Computed properties:
V	70.0	Å³/f.u.
total DFT energy (no corrections)	-0.112	hartree per atom
total magnetization	0.0	Bohr magnetons per cell

Cell lengths 4.627, 4.627, 4.627 Å; angles 60.00, 60.00, 60.00 degrees
Fractional coordinates of all 4 atoms:
Na 0.000 0.000 0.000
Zn 0.750 0.750 0.750
Ni 0.500 0.500 0.500
Sb 0.250 0.250 0.250

---

(4)
A plane-wave DFT calculation with GGA-PBE was carried out for a relaxed structure of NaZnNiSb.

Computed properties:
V	72.6	Å³/f.u.
total DFT energy (no corrections)	-0.105	hartree per atom
total magnetization	0.0	Bohr magnetons per cell

Cell lengths 4.683, 4.683, 4.683 Å; angles 60.00, 60.00, 60.00 degrees
Fractional coordinates of all 4 atoms:
Na 0.000 0.000 0.000
Zn 0.500 0.500 0.500
Ni 0.750 0.750 0.750
Sb 0.250 0.250 0.250

---

(5)
A plane-wave DFT calculation with GGA-PBE was carried out for a relaxed structure of NaZnNiSb.

Computed properties:
V	72.3	Å³/f.u.
total DFT energy (no corrections)	-0.109	hartree per atom
total magnetization	0.0	Bohr magnetons per cell

Cell lengths 4.677, 4.677, 4.677 Å; angles 60.00, 60.00, 60.00 degrees
Fractional coordinates of all 4 atoms:
Na 0.000 0.000 0.000
Zn 0.750 0.750 0.750
Ni 0.250 0.250 0.250
Sb 0.500 0.500 0.500

---

(6)
A plane-wave DFT calculation with GGA-PBE was carried out for a relaxed structure of NaScNi.

Computed properties:
V	63.2	Å³/f.u.
total DFT energy (no corrections)	-0.152	hartree per atom
total magnetization	0.0	Bohr magnetons per cell

Cell lengths 4.472, 4.472, 4.472 Å; angles 60.00, 60.00, 60.00 degrees
Fractional coordinates of all 3 atoms:
Na 0.000 0.000 0.000
Sc 0.500 0.500 0.500
Ni 0.250 0.250 0.250

---

(7)
A plane-wave DFT calculation with GGA-PBE was carried out for a relaxed structure of NaScNiSn.

Computed properties:
V	71.2	Å³/f.u.
total DFT energy (no corrections)	-0.168	hartree per atom
total magnetization	0.0	Bohr magnetons per cell

Cell lengths 4.652, 4.652, 4.652 Å; angles 60.00, 60.00, 60.00 degrees
Fractional coordinates of all 4 atoms:
Na 0.000 0.000 0.000
Sc 0.750 0.750 0.750
Ni 0.500 0.500 0.500
Sn 0.250 0.250 0.250

---

(8)
A plane-wave DFT calculation with GGA-PBE was carried out for a relaxed structure of NaScNiSn.

Computed properties:
V	78.6	Å³/f.u.
total DFT energy (no corrections)	-0.161	hartree per atom
total magnetization	0.0	Bohr magnetons per cell

Cell lengths 4.808, 4.808, 4.808 Å; angles 60.00, 60.00, 60.00 degrees
Fractional coordinates of all 4 atoms:
Na 0.000 0.000 0.000
Sc 0.500 0.500 0.500
Ni 0.750 0.750 0.750
Sn 0.250 0.250 0.250

---

(9)
A plane-wave DFT calculation with GGA-PBE was carried out for a relaxed structure of NaScNiTe3.

Computed properties:
V	159.5	Å³/f.u.
total DFT energy (no corrections)	-0.167	hartree per atom
total magnetization	0.0	Bohr magnetons per cell

Cell lengths 8.128, 8.128, 10.100 Å; angles 90.00, 90.00, 151.44 degrees
Fractional coordinates of all 12 atoms:
Na 0.246 0.754 0.750
Na 0.754 0.246 0.250
Sc 0.000 0.000 0.000
Sc 0.000 0.000 0.500
Ni 0.490 0.510 0.250
Ni 0.510 0.490 0.750
Te 0.092 0.908 0.250
Te 0.375 0.625 0.079
Te 0.375 0.625 0.421
Te 0.625 0.375 0.579
Te 0.625 0.375 0.921
Te 0.908 0.092 0.750

---

(10)
A plane-wave DFT calculation with GGA-PBE was carried out for a relaxed structure of NaScNiTe3.

Computed properties:
V	162.3	Å³/f.u.
total DFT energy (no corrections)	-0.167	hartree per atom
total magnetization	0.0	Bohr magnetons per cell

Cell lengths 8.550, 3.984, 10.322 Å; angles 90.00, 112.64, 90.00 degrees
Fractional coordinates of all 12 atoms:
Na 0.239 0.250 0.208
Na 0.761 0.750 0.792
Sc 0.187 0.750 0.654
Sc 0.813 0.250 0.346
Ni 0.410 0.250 0.901
Ni 0.590 0.750 0.099
Te 0.068 0.750 0.352
Te 0.272 0.750 0.963
Te 0.436 0.250 0.664
Te 0.564 0.750 0.336
Te 0.728 0.250 0.037
Te 0.932 0.250 0.648

---

(11)
A plane-wave DFT calculation with GGA-PBE was carried out for a relaxed structure of NaScNiTe3.

Computed properties:
V	154.2	Å³/f.u.
total DFT energy (no corrections)	-0.167	hartree per atom
total magnetization	0.0	Bohr magnetons per cell

Cell lengths 10.544, 4.051, 14.443 Å; angles 90.00, 90.00, 90.00 degrees
Fractional coordinates of all 24 atoms:
Na 0.244 0.250 0.008
Na 0.256 0.750 0.508
Na 0.744 0.250 0.492
Na 0.756 0.750 0.992
Sc 0.004 0.750 0.749
Sc 0.496 0.250 0.249
Sc 0.504 0.750 0.751
Sc 0.996 0.250 0.251
Ni 0.246 0.750 0.228
Ni 0.254 0.250 0.728
Ni 0.746 0.750 0.272
Ni 0.754 0.250 0.772
Te 0.064 0.750 0.115
Te 0.073 0.250 0.613
Te 0.246 0.250 0.336
Te 0.254 0.750 0.836
Te 0.427 0.750 0.113
Te 0.436 0.250 0.615
Te 0.564 0.750 0.385
Te 0.573 0.250 0.887
Te 0.746 0.250 0.164
Te 0.754 0.750 0.664
Te 0.927 0.750 0.387
Te 0.936 0.250 0.885

---

(12)
A plane-wave DFT calculation with GGA-PBE was carried out for a relaxed structure of NaZrScNi.

Computed properties:
V	76.1	Å³/f.u.
total DFT energy (no corrections)	-0.190	hartree per atom
total magnetization	0.0	Bohr magnetons per cell

Cell lengths 4.756, 4.756, 4.756 Å; angles 60.00, 60.00, 60.00 degrees
Fractional coordinates of all 4 atoms:
Na 0.000 0.000 0.000
Zr 0.750 0.750 0.750
Sc 0.250 0.250 0.250
Ni 0.500 0.500 0.500